# KPa2VO8 (PBE with a Hubbard U, optimized geometry)
# total DFT energy (no corrections)	-99.8	eV per cell
data_KPa2VO8
_chemical_formula_sum 'K1 Pa2 V1 O8'
_cell_length_a 4.984
_cell_length_b 7.073
_cell_length_c 5.001
_cell_angle_alpha 90.00
_cell_angle_beta 92.38
_cell_angle_gamma 90.00
_symmetry_space_group_name_H-M 'P 1 2/m 1'
_symmetry_Int_Tables_number 10
_symmetry_space_group_name_Hall '-P 2y'
loop_
_atom_site_label
_atom_site_fract_x
_atom_site_fract_y
_atom_site_fract_z
_atom_site_occupancy
K1 0.000 0.000 0.000 1
Pa1 0.500 0.254 0.500 1
V1 0.000 0.500 0.000 1
O1 0.193 0.313 0.189 1
O2 0.293 0.500 0.703 1
O3 0.327 0.000 0.661 1

# K4Pa3VO12 (PBE with a Hubbard U, optimized geometry)
# total DFT energy (no corrections)	-310.1	eV per cell
data_K4Pa3VO12
_chemical_formula_sum 'K8 Pa6 V2 O24'
_cell_length_a 8.520
_cell_length_b 8.520
_cell_length_c 8.520
_cell_angle_alpha 90.00
_cell_angle_beta 90.00
_cell_angle_gamma 90.00
_symmetry_space_group_name_H-M 'I m -3 m'
_symmetry_Int_Tables_number 229
_symmetry_space_group_name_Hall '-I 4 2 3'
loop_
_atom_site_label
_atom_site_fract_x
_atom_site_fract_y
_atom_site_fract_z
_atom_site_occupancy
K1 0.250 0.250 0.250 1
Pa1 0.000 0.000 0.500 1
V1 0.000 0.000 0.000 1
O1 0.000 0.000 0.233 1
O2 0.000 0.250 0.500 1